No. 1
# RbNa2SmF6 PBE optimized geometry
data_RbNa2SmF6
_cell_length_a 6.134
_cell_length_b 6.134
_cell_length_c 6.459
_cell_angle_alpha 61.65
_cell_angle_beta 61.65
_cell_angle_gamma 59.99
_symmetry_space_group_name_H-M 'P 1'
_symmetry_Int_Tables_number 1
loop_
_symmetry_equiv_pos_as_xyz
'x,y,z'
loop_
_atom_site_label
_atom_site_fract_x
_atom_site_fract_y
_atom_site_fract_z
Rb1 0.794 0.794 0.617
Na1 0.524 0.524 0.429
Na2 0.014 0.014 0.958
Sm1 0.315 0.315 0.055
F1 0.599 0.254 0.222
F2 0.254 0.924 0.222
F3 0.924 0.599 0.222
F4 0.336 0.709 0.763
F5 0.710 0.191 0.763
F6 0.191 0.336 0.763
# Uncorrected energy ... -5.22 eV per atom
# Density ... 3.73 g/cm³
# Spin magnetization ... 0.2 Bohr magnetons per cell
# Space group ... R3 (146)



No. 2
# RbNaSmF5 PBE optimized geometry
data_RbNaSmF5
_cell_length_a 6.660
_cell_length_b 6.660
_cell_length_c 8.613
_cell_angle_alpha 101.66
_cell_angle_beta 101.66
_cell_angle_gamma 110.23
_symmetry_space_group_name_H-M 'P 1'
_symmetry_Int_Tables_number 1
loop_
_symmetry_equiv_pos_as_xyz
'x,y,z'
loop_
_atom_site_label
_atom_site_fract_x
_atom_site_fract_y
_atom_site_fract_z
Rb1 0.335 0.665 0.250
Rb2 0.665 0.335 0.750
Na1 0.682 0.318 0.250
Na2 0.318 0.682 0.750
Sm1 0.000 0.000 0.500
Sm2 0.000 0.000 0.000
F1 0.069 0.931 0.250
F2 0.931 0.069 0.750
F3 0.907 0.284 0.098
F4 0.093 0.716 0.902
F5 0.716 0.093 0.402
F6 0.284 0.907 0.598
F7 0.750 0.644 0.423
F8 0.250 0.356 0.577
F9 0.356 0.250 0.077
F10 0.644 0.750 0.923
# Uncorrected energy ... -5.45 eV per atom
# Density ... 3.50 g/cm³
# Spin magnetization ... 0.5 Bohr magnetons per cell
# Space group ... C2/c (15)



No. 3
# Rb3Na2SmF9 PBE optimized geometry
data_Rb3Na2SmF9
_cell_length_a 6.347
_cell_length_b 6.347
_cell_length_c 8.046
_cell_angle_alpha 90.00
_cell_angle_beta 90.00
_cell_angle_gamma 120.00
_symmetry_space_group_name_H-M 'P 1'
_symmetry_Int_Tables_number 1
loop_
_symmetry_equiv_pos_as_xyz
'x,y,z'
loop_
_atom_site_label
_atom_site_fract_x
_atom_site_fract_y
_atom_site_fract_z
Rb1 0.333 0.667 0.706
Rb2 0.000 0.000 0.000
Rb3 0.667 0.333 0.294
Na1 0.333 0.667 0.177
Na2 0.667 0.333 0.823
Sm1 0.000 0.000 0.500
F1 0.837 0.163 0.668
F2 0.837 0.675 0.668
F3 0.325 0.163 0.668
F4 0.675 0.837 0.332
F5 0.163 0.325 0.332
F6 0.163 0.837 0.332
F7 0.500 0.000 0.000
F8 0.000 0.500 0.000
F9 0.500 0.500 0.000
# Uncorrected energy ... -4.71 eV per atom
# Density ... 3.69 g/cm³
# Spin magnetization ... 1.3 Bohr magnetons per cell
# Space group ... P-3m1 (164)



No. 4
# Rb2NaSrF PBE optimized geometry
data_Rb2NaSrF
_cell_length_a 7.195
_cell_length_b 7.195
_cell_length_c 4.789
_cell_angle_alpha 90.00
_cell_angle_beta 90.00
_cell_angle_gamma 90.00
_symmetry_space_group_name_H-M 'P 1'
_symmetry_Int_Tables_number 1
loop_
_symmetry_equiv_pos_as_xyz
'x,y,z'
loop_
_atom_site_label
_atom_site_fract_x
_atom_site_fract_y
_atom_site_fract_z
Sr1 0.000 0.000 0.500
F1 0.000 0.000 0.000
Rb1 0.000 0.500 0.000
Rb2 0.500 0.000 0.000
Na1 0.500 0.500 0.500
# Uncorrected energy ... -2.38 eV per atom
# Density ... 2.01 g/cm³
# Spin magnetization ... 0.0 Bohr magnetons per cell
# Space group ... P4/mmm (123)



No. 5
# RbNaSrF4 PBE optimized geometry
data_RbNaSrF4
_cell_length_a 5.787
_cell_length_b 6.220
_cell_length_c 7.288
_cell_angle_alpha 90.00
_cell_angle_beta 113.39
_cell_angle_gamma 90.00
_symmetry_space_group_name_H-M 'P 1'
_symmetry_Int_Tables_number 1
loop_
_symmetry_equiv_pos_as_xyz
'x,y,z'
loop_
_atom_site_label
_atom_site_fract_x
_atom_site_fract_y
_atom_site_fract_z
Rb1 0.599 0.750 0.199
Rb2 0.401 0.250 0.801
Na1 0.238 0.750 0.476
Na2 0.762 0.250 0.524
Sr1 0.131 0.250 0.261
Sr2 0.869 0.750 0.739
F1 0.949 0.250 0.898
F2 0.407 0.750 0.814
F3 0.051 0.750 0.102
F4 0.593 0.250 0.186
F5 0.500 0.500 0.500
F6 0.000 0.000 0.500
F7 0.500 0.000 0.500
F8 0.000 0.500 0.500
# Uncorrected energy ... -4.73 eV per atom
# Density ... 3.75 g/cm³
# Spin magnetization ... 0.2 Bohr magnetons per cell
# Space group ... Cmcm (63)



No. 6
# Rb2NaTaF6 PBE optimized geometry
data_Rb2NaTaF6
_cell_length_a 6.229
_cell_length_b 6.229
_cell_length_c 6.229
_cell_angle_alpha 60.00
_cell_angle_beta 60.00
_cell_angle_gamma 60.00
_symmetry_space_group_name_H-M 'P 1'
_symmetry_Int_Tables_number 1
loop_
_symmetry_equiv_pos_as_xyz
'x,y,z'
loop_
_atom_site_label
_atom_site_fract_x
_atom_site_fract_y
_atom_site_fract_z
Na1 0.500 0.500 0.500
F1 0.238 0.762 0.762
F2 0.762 0.238 0.762
F3 0.238 0.762 0.238
F4 0.762 0.762 0.238
F5 0.762 0.238 0.238
F6 0.238 0.238 0.762
Rb1 0.250 0.250 0.250
Rb2 0.750 0.750 0.750
Ta1 0.000 0.000 0.000
# Uncorrected energy ... -5.33 eV per atom
# Density ... 4.75 g/cm³
# Spin magnetization ... 2.0 Bohr magnetons per cell
# Space group ... Fm-3m (225)



No. 7
# RbNaTaF6 PBE optimized geometry
data_RbNaTaF6
_cell_length_a 6.071
_cell_length_b 6.071
_cell_length_c 10.997
_cell_angle_alpha 90.00
_cell_angle_beta 90.00
_cell_angle_gamma 120.00
_symmetry_space_group_name_H-M 'P 1'
_symmetry_Int_Tables_number 1
loop_
_symmetry_equiv_pos_as_xyz
'x,y,z'
loop_
_atom_site_label
_atom_site_fract_x
_atom_site_fract_y
_atom_site_fract_z
Rb1 0.000 0.000 0.000
Rb2 0.000 0.000 0.500
Na1 0.333 0.667 0.250
Na2 0.667 0.333 0.750
Ta1 0.667 0.333 0.250
Ta2 0.333 0.667 0.750
F1 0.652 0.611 0.158
F2 0.959 0.348 0.158
F3 0.348 0.959 0.658
F4 0.041 0.652 0.842
F5 0.389 0.348 0.342
F6 0.959 0.611 0.342
F7 0.611 0.959 0.842
F8 0.652 0.041 0.342
F9 0.041 0.389 0.658
F10 0.389 0.041 0.158
F11 0.611 0.652 0.658
F12 0.348 0.389 0.842
# Uncorrected energy ... -5.80 eV per atom
# Density ... 3.82 g/cm³
# Spin magnetization ... 2.0 Bohr magnetons per cell
# Space group ... P-31c (163)



No. 8
# RbNaTbF5 PBE optimized geometry
data_RbNaTbF5
_cell_length_a 6.603
_cell_length_b 6.603
_cell_length_c 8.478
_cell_angle_alpha 101.68
_cell_angle_beta 101.68
_cell_angle_gamma 110.15
_symmetry_space_group_name_H-M 'P 1'
_symmetry_Int_Tables_number 1
loop_
_symmetry_equiv_pos_as_xyz
'x,y,z'
loop_
_atom_site_label
_atom_site_fract_x
_atom_site_fract_y
_atom_site_fract_z
Rb1 0.334 0.666 0.250
Rb2 0.666 0.334 0.750
Na1 0.682 0.318 0.250
Na2 0.318 0.682 0.750
Tb1 0.000 0.000 0.500
Tb2 0.000 0.000 0.000
F1 0.064 0.936 0.250
F2 0.936 0.064 0.750
F3 0.904 0.279 0.092
F4 0.096 0.721 0.908
F5 0.721 0.096 0.408
F6 0.279 0.904 0.592
F7 0.754 0.650 0.423
F8 0.246 0.350 0.577
F9 0.350 0.246 0.077
F10 0.650 0.754 0.923
# Uncorrected energy ... -5.48 eV per atom
# Density ... 3.71 g/cm³
# Spin magnetization ... 0.4 Bohr magnetons per cell
# Space group ... C2/c (15)



Among the records above, which one has the highest density? Rb2NaTaF6